[1]
Computed, not measured: crystalline KMo2 at its relaxed geometry at the PBE-GGA level of DFT.

Output
- space-group type = No. 74
- crystal system = orthorhombic
- energy relative to the elements (meV per atom) = 1363

a = 6.498 Å, b = 6.498 Å, c = 6.498 Å
α = 136.36°, β = 120.67°, γ = 76.47°
Element x y z (fractional)
Mo  0.844  0.094  0.750
Mo  0.930  0.680  0.250
Mo  0.070  0.320  0.750
Mo  0.156  0.906  0.250
K  0.399  0.649  0.750
K  0.601  0.351  0.250


[2]
Computed, not measured: crystalline NbTl2TcHg at its relaxed geometry at the PBE-GGA level of DFT.

Output
- space-group type = No. 123
- crystal system = tetragonal
- energy relative to the elements (meV per atom) = 1904

a = 5.308 Å, b = 5.186 Å, c = 5.308 Å
α = 90.00°, β = 90.00°, γ = 90.00°
Element x y z (fractional)
Nb  0.500  0.500  0.500
Tc  0.000  0.500  0.000
Hg  0.000  0.000  0.000
Tl  0.000  0.000  0.500
Tl  0.500  0.000  0.000


| no. | N(E_F) (states/eV/cell) |
| --- | --- |
| 1 | 6.1 |
| 2 | 6.6 |